First-principles (PBE+U) data for a relaxed structure of SrCrSe2O8, as listed in the Alexandria database.

Space-group type: No. 148
Total magnetization (μB per formula unit): 3.98
Final energy (eV per atom): -5.89

abc: 5.080 5.080 8.002
angles: 71.49 71.49 60.00
Each line ends with the local moment (μB).
Positions (direct):
O 0.401 0.730 0.827  0.00
Sr 0.500 0.500 0.500  0.01
Cr 0.000 0.000 0.000  3.62
O 0.821 0.821 0.537  0.03
O 0.730 0.042 0.827  0.00
O 0.599 0.270 0.173  0.00
O 0.958 0.599 0.173  0.00
Se 0.746 0.746 0.763  0.04
Se 0.254 0.254 0.237  0.04
O 0.179 0.179 0.463  0.03
O 0.270 0.958 0.173  0.00
O 0.042 0.401 0.827  0.00